Record 1
Tb2Pr4Tm: optimized geometry, PBE. Values from VASP.

## Properties
E above lowest polymorph   61.7 meV/atom
Magnetization   0.000 μB per atom
D(E_F)   21.5 states/eV/cell
Formation enthalpy at 0 K   123 meV per atom

Quantum ESPRESSO input file:
```
&SYSTEM
  ibrav = 0, nat = 14, ntyp = 3
/
ATOMIC_SPECIES
Tb 158.93 Tb.upf
Pr 140.91 Pr.upf
Tm 168.93 Tm.upf
ATOMIC_POSITIONS angstrom
Tb -0.744 1.682 5.605
Tb 1.112 1.682 0.884
Tb 2.269 5.046 10.463
Tb 4.125 5.046 5.742
Pr -1.357 0.079 8.895
Pr -1.357 3.285 8.895
Pr 2.037 5.046 0.562
Pr 1.036 5.046 7.192
Pr 2.345 1.682 4.156
Pr 1.344 1.682 10.785
Pr 4.738 3.443 2.453
Pr 4.738 6.649 2.453
Tm 1.251 5.046 3.828
Tm 2.130 1.682 7.519
CELL_PARAMETERS angstrom
6.263 0.000 0.000
0.000 6.728 0.000
-2.882 0.000 11.347
```

Record 2
Tb5Pr3Tm4: optimized geometry, PBE. Values from VASP.

## Properties
E above lowest polymorph   250.1 meV/atom
Magnetization   0.027 μB per atom
D(E_F)   15.3 states/eV/cell
Formation enthalpy at 0 K   270 meV per atom

Quantum ESPRESSO input file:
```
&SYSTEM
  ibrav = 0, nat = 12, ntyp = 3
/
ATOMIC_SPECIES
Tb 158.93 Tb.upf
Pr 140.91 Pr.upf
Tm 168.93 Tm.upf
ATOMIC_POSITIONS angstrom
Tb 0.000 0.000 0.000
Tb 5.642 0.000 0.874
Tb 4.927 0.000 4.387
Tb 8.951 0.000 3.380
Tb 8.236 0.000 6.893
Pr 2.431 0.000 1.728
Pr 8.937 0.000 0.000
Pr 11.447 0.000 6.039
Tm -2.164 0.000 5.401
Tm 1.093 0.000 5.010
Tm 12.785 0.000 2.756
Tm 16.041 0.000 2.366
CELL_PARAMETERS angstrom
8.937 -2.871 0.000
8.937 2.871 0.000
-3.997 0.000 7.767
```

> Which formula does entry 1 have?

Tb2Pr4Tm

> Which value of D(E_F) does entry 2 give?

15.3 states/eV/cell

> Which of these has the highest E above lowest polymorph?

Tb5Pr3Tm4

> Which of these has the lowest formation enthalpy at 0 K?

Tb2Pr4Tm